Co2TeO: relaxed, PBE with a Hubbard U.

Lattice parameters (Å, degrees): 3.439 3.439 12.706 90.00 90.00 120.00
Fractional coordinates of all 8 atoms:
Co: 0.000 0.000 0.000
Co: 0.000 0.000 0.500
Co: 0.333 0.667 0.309
Co: 0.667 0.333 0.809
Te: 0.333 0.667 0.632
Te: 0.667 0.333 0.132
O: 0.000 0.000 0.352
O: 0.000 0.000 0.852

Calculated values
The value obtained for the offset from the most stable computed form is 0.134 eV per atom. Its volume is 130.1 Å³/cell.